Entry 1:
This record from the Alexandria database describes an optimized crystal structure of K2Fe4Cu. The functional is PBE-GGA.

- DOS(E_F): 11.1 states/eV/f.u.
- Electronic total energy: -30.8 eV/cell
- Energy relative to the elements: 1329 meV/atom
- Symmetry: I4/mmm (139)
- ρ: 3.17 g/cm³

Structure (extended XYZ):
```
7
Lattice="-1.8147 -3.2428 2.7960 4.2814 -1.4172 1.1351 1.3484 3.4053 8.6920" Properties=species:S:1:pos:R:3 pbc="T T T"
Fe -0.9073 -1.6214 1.3980
Fe 2.1407 -0.7086 0.5676
Fe 1.3198 1.9800 7.0205
Fe 2.4953 -3.2348 5.6027
K 1.2703 -0.4899 4.1237
K 2.5448 -0.7648 8.4994
Cu 0.0000 0.0000 0.0000
```

Entry 2:
This record from the Alexandria database describes an optimized crystal structure of RbPmAgSe2. The functional is PBE-GGA.

- DOS(E_F): 1.1 states/eV/f.u.
- Electronic total energy: -41.5 eV/cell
- Symmetry: P2/c (13)
- ρ: 4.91 g/cm³
- E_form (uncorrected): -1.04 eV/atom

Structure (extended XYZ):
```
10
Lattice="5.0720 0.0000 0.0000 0.0000 7.9974 0.6286 0.0000 -1.8115 8.1405" Properties=species:S:1:pos:R:3 pbc="T T T"
Se 1.8947 5.2257 4.2952
Se 3.1773 0.9602 4.4740
Se 3.1773 4.3199 8.3655
Se 1.8947 1.8659 0.4037
Rb 0.6187 2.6400 6.4197
Rb 4.4533 3.5458 2.3495
Pm 2.5062 -0.4529 2.0351
Pm 2.5658 -1.3587 6.1054
Ag 0.0000 -0.9058 4.0703
Ag 0.0000 0.0000 0.0000
```

Entry 3:
This record from the Alexandria database describes an optimized crystal structure of CaAcCeGd. The functional is PBE-GGA.

- DOS(E_F): 13.2 states/eV/f.u.
- Electronic total energy: -25.2 eV/cell
- Energy relative to the elements: 225 meV/atom
- Symmetry: F-43m (216)
- ρ: 6.23 g/cm³

Structure (extended XYZ):
```
4
Lattice="5.9706 0.0000 0.0000 2.9853 5.1707 0.0000 2.9853 1.7236 4.8750" Properties=species:S:1:pos:R:3 pbc="T T T"
Ac 5.9706 3.4471 2.4375
Ca 2.9853 1.7236 1.2187
Ce 8.9559 5.1707 3.6562
Gd 0.0000 0.0000 0.0000
```